A plane-wave DFT calculation with PBE with a Hubbard U was carried out for a geometry-optimized KCoO3 structure.

Unit cell a=5.0943 b=10.2171 c=5.7843 alpha=90.00 beta=90.00 gamma=90.00
With the nearest neighbours (Å) after each atom.
Space group Pnma (No. 62)
One atom of each set of equivalent atoms:
K1 0.0000 0.0000 0.0000 x4  8 O 2.72-2.95
Co1 0.0302 0.2500 0.4381 x4  4 O 1.63-1.80
O1 0.0248 0.6136 0.4239 x8  1 Co 1.63
O2 0.1357 0.7500 0.8366 x4  2 Co 1.80

Computed properties:
final energy	-0.3705	Ry per atom
M_tot	8.00	μB per cell


A plane-wave DFT calculation with PBE with a Hubbard U was carried out for a geometry-optimized KCoO2 structure.

Unit cell a=3.8079 b=3.8079 c=7.8672 alpha=90.00 beta=90.00 gamma=90.00
With the nearest neighbours (Å) after each atom.
Space group P4/nmm (No. 129, origin choice 2)
One atom of each set of equivalent atoms:
K1 0.2500 0.2500 0.1590 x2  5 O 2.70-2.72
Co1 0.2500 0.2500 0.5931 x2  1 O 1.74
O1 0.2500 0.2500 0.8137 x2  1 Co 1.74
O2 0.2500 0.7500 0.5000 x2  4 Co 2.04

Computed properties:
final energy	-0.3851	Ry per atom
M_tot	8.04	μB per cell